# 1
Material: Li2TaSb
Method: DFT, PBE
State: optimized geometry

As for the crystal system: monoclinic. The calculation puts the density of states at the Fermi level at 2.8 states/eV per cell. For the formation energy from raw total energies, the calculation gives 0.12 eV per atom. As for the volume: 150.4 Å³/cell.

The space group is C2/m (No. 12) and the conventional cell measures 11.3452, 3.0488 and 4.7923 Å, with angles of 90.00, 114.88 and 90.00 degrees. The inequivalent atoms are Li at (0.2428, 0.0000, 0.2430), Ta at (0.0000, 0.0000, 0.5000) and Sb at (0.0000, 0.5000, 0.0000).

---

# 2
Material: NdTiP2Ru
Method: DFT, PBE
State: optimized geometry

As for the crystal system: tetragonal. Its energy relative to the elements is -1041.4 meV/atom. The calculation puts the density of states at the Fermi level at 6.5 states/eV per cell. As for the volume: 178.6 Å³/cell.

The space group is I-4m2 (No. 119) and the conventional cell measures 3.9143, 3.9143 and 11.6584 Å, with angles of 90.00, 90.00 and 90.00 degrees. The inequivalent atoms are Nd at (0.0000, 0.0000, 0.0000), Ti at (0.0000, 0.5000, 0.7500), P at (0.0000, 0.0000, 0.3741) and Ru at (0.0000, 0.5000, 0.2500).

---

# 3
Material: TbDy3HoEr
Method: DFT, PBE
State: optimized geometry

As for the crystal system: orthorhombic. Its energy relative to the elements is 18.4 meV/atom. The calculation puts the density of states at the Fermi level at 31.3 states/eV per cell. As for the volume: 744.9 Å³/cell.

The space group is Cmcm (No. 63) and the conventional cell measures 4.9876, 14.9755 and 9.9730 Å, with angles of 90.00, 90.00 and 90.00 degrees. The inequivalent atoms are Tb at (0.0000, 0.0000, 0.0000), Dy at (0.0000, 0.1669, 0.2500), Dy at (0.0000, 0.3332, 0.0000), Ho at (0.0000, 0.4998, 0.2500) and Er at (0.0000, 0.1666, 0.7500).

---

# 4
Material: Tl2Cu2Br5
Method: DFT, PBE
State: optimized geometry

As for the crystal system: orthorhombic. For the energy above the lowest structure with this stoichiometry, the calculation gives 0.00 eV/f.u. The calculation puts the density of states at the Fermi level at 12.8 states/eV per cell. For the formation energy from raw total energies, the calculation gives -0.53 eV per atom. As for the volume: 1119.8 Å³/cell.

The space group is Ima2 (No. 46) and the conventional cell measures 22.4162, 7.0731 and 7.0625 Å, with angles of 90.00, 90.00 and 90.00 degrees. The inequivalent atoms are Tl at (0.1126, 0.0122, 0.0000), Cu at (0.0000, 0.0000, 0.5069), Cu at (0.2500, 0.5821, 0.9720), Br at (0.0020, 0.7491, 0.7561), Br at (0.1490, 0.0220, 0.5307) and Br at (0.2500, 0.5983, 0.6199).